Compound: YSi2F
Source: Alexandria via LeMat-Bulk
Functional: PBE
Structure: optimized geometry

Cell: 3.464 3.464 11.661 Å, 81.46 81.46 90.00°
Atoms (fractional coordinates):
Y  0.000  0.000  0.000
Y  0.750  0.250  0.500
Si  0.121  0.125  0.250
Si  0.629  0.625  0.250
Si  0.375  0.879  0.750
Si  0.875  0.371  0.750
F  0.500  0.500  0.000
F  0.250  0.750  0.500

Calculated values
The value obtained for the magnetization is 0.00 μB per atom. The calculated total energy is -47.2 eV for the cell shown. The calculation puts the energy above the most stable polymorph in this dataset at 0.000 eV per formula unit. The value obtained for the volume is 136.8 Å³ per cell. The value obtained for the formation energy without anion corrections is -1.10 eV per atom.